First-principles (PBE) data for PrHoTe after structural relaxation, as listed in Alexandria via LeMat-Bulk.

- SG = P3m1 (156)
- spin magnetization (μB per atom) = 0.000
- E (eV per formula unit) = -14.0
- DOS at the Fermi energy (states/eV/cell) = 4.65
- uncorrected formation energy (eV per atom) = -0.51

Structure (extended XYZ):
```
3
Lattice="-0.209 -0.714 3.990 4.301 -2.949 -0.302 0.406 5.123 0.938" Properties=species:S:1:pos:R:3 pbc="T T T"
Pr 2.873 -0.700 2.581
Ho -0.027 -0.091 0.507
Te 1.651 2.251 1.537
```